Entry 1:
Below is crystalline NaSb2Pd2 at its relaxed geometry, with properties calculated at the PBE level.

Cell lengths 6.440, 6.440, 6.440 Å; angles 137.90, 137.90, 61.05 degrees
Sites, in units of the cell vectors:
Na1 0.000 0.000 0.000
Sb1 0.369 0.369 0.000
Sb2 0.631 0.631 0.000
Pd1 0.250 0.750 0.500
Pd2 0.750 0.250 0.500

Results
density = 6.7 g/cm³
E_form (uncorrected) = -0.41 eV/atom

=====

Entry 2:
Below is crystalline TeH5Pt at its relaxed geometry, with properties calculated at the PBE level.

Cell lengths 2.767, 4.590, 8.152 Å; angles 85.53, 89.33, 88.41 degrees
Sites, in units of the cell vectors:
Te1 0.000 0.000 0.000
H1 0.022 0.822 0.711
H2 0.049 0.556 0.321
H3 0.055 0.400 0.375
H4 0.528 0.892 0.481
H5 0.543 0.461 0.629
Pt1 0.036 0.667 0.546

Results
calculated total energy = -3.5762 eV per atom
density = 5.3 g/cm³

=====

Entry 3:
Below is crystalline Tb2HoEr3 at its relaxed geometry, with properties calculated at the PBE level.

Cell lengths 9.315, 9.315, 6.088 Å; angles 90.06, 90.06, 44.39 degrees
Sites, in units of the cell vectors:
Tb1 0.041 0.291 0.417
Tb2 0.291 0.041 0.917
Tb3 0.709 0.959 0.083
Tb4 0.959 0.709 0.583
Ho1 0.375 0.625 0.750
Ho2 0.625 0.375 0.250
Er1 0.125 0.875 0.250
Er2 0.209 0.459 0.083
Er3 0.459 0.209 0.583
Er4 0.541 0.791 0.417
Er5 0.791 0.541 0.917
Er6 0.875 0.125 0.750

Results
density = 8.8 g/cm³
DFT formation energy = 2 kJ per mole of atoms

=====

Entry 4:
Below is crystalline LaSmPO at its relaxed geometry, with properties calculated at the PBE level.

Cell lengths 4.467, 4.467, 9.173 Å; angles 90.00, 90.00, 90.00 degrees
Sites, in units of the cell vectors:
La1 0.250 0.250 0.110
La2 0.750 0.750 0.890
Sm1 0.250 0.750 0.500
Sm2 0.750 0.250 0.500
P1 0.250 0.250 0.691
P2 0.750 0.750 0.309
O1 0.250 0.750 0.000
O2 0.750 0.250 0.000

Results
density = 6.1 g/cm³
E_form (uncorrected) = -1.96 eV/atom

=====

Q: The lowest density belongs to which entry?
A: TeH5Pt

=====

Q: Which of these has the lowest density?
A: TeH5Pt

=====

Q: What is the density in the third record?
A: 8.8 g/cm³